1.
Material: PRuSe2
Method: DFT, PBE
State: optimized geometry

As for the uncorrected formation energy: 4.8 kcal/mol of atoms. For the volume, the calculation gives 18.78 A^3/atom. The calculation puts the uncorrected energy at -20.8 eV/f.u. The density of states at the Fermi level comes out at 2.068 states/eV/f.u. Its total magnetic moment is 0.00 μB per formula unit.

It has space group Imm2 (No. 44), with a = 3.004 Å, b = 4.495 Å, c = 11.127 Å, α = 90.00°, β = 90.00° and γ = 90.00°. The distinct sites, in fractional coordinates, are P at (0.000, 0.000, 0.000), Ru at (0.000, 0.500, 0.668), Se at (0.000, 0.000, 0.356) and Se at (0.000, 0.500, 0.138).

=====

2.
Material: Be2AlRh
Method: DFT, PBE
State: optimized geometry

For the volume, the calculation gives 11.47 A^3/atom. The calculation puts the uncorrected energy at -19.9 eV/f.u. The density of states at the Fermi level comes out at 1.621 states/eV/f.u. Its total magnetic moment is 0.00 μB per formula unit.

It has space group F-43m (No. 216), with a = 5.683 Å, b = 5.683 Å, c = 5.683 Å, α = 90.00°, β = 90.00° and γ = 90.00°. The distinct sites, in fractional coordinates, are Be at (0.000, 0.000, 0.000), Be at (0.250, 0.250, 0.250), Al at (0.250, 0.250, 0.750) and Rh at (0.000, 0.000, 0.500).

=====

3.
Material: NaGeBi
Method: DFT, PBE
State: optimized geometry

As for the energy above the most stable polymorph in this dataset: 9.8 kJ/mol of atoms. For the volume, the calculation gives 29.87 A^3/atom. The calculation puts the uncorrected energy at -9.8 eV/f.u. The density of states at the Fermi level comes out at 1.667 states/eV/f.u. Its total magnetic moment is 0.00 μB per formula unit.

It has space group F-43m (No. 216), with a = 7.104 Å, b = 7.104 Å, c = 7.104 Å, α = 90.00°, β = 90.00° and γ = 90.00°. The distinct sites, in fractional coordinates, are Na at (0.000, 0.000, 0.000), Ge at (0.250, 0.250, 0.250) and Bi at (0.000, 0.000, 0.500).

=====

4.
Material: TePd2O3
Method: DFT, PBE
State: optimized geometry

As for the uncorrected formation energy: -5.7 kcal/mol of atoms. For the volume, the calculation gives 14.92 A^3/atom. The calculation puts the uncorrected energy at -29.9 eV/f.u. The density of states at the Fermi level comes out at 3.601 states/eV/f.u. Its total magnetic moment is 0.00 μB per formula unit.

It has space group C2/c (No. 15), with a = 9.762 Å, b = 4.611 Å, c = 7.986 Å, α = 90.00°, β = 94.94° and γ = 90.00°. The distinct sites, in fractional coordinates, are Te at (0.000, 0.127, 0.250), Pd at (0.186, 0.422, 0.653), O at (0.000, 0.303, 0.750) and O at (0.140, 0.067, 0.464).